(1)
# GGA-PBE Ca3Ni, relaxed
data_Ca3Ni
_chemical_formula_sum 'Ca3 Ni1'
_symmetry_space_group_name_H-M 'P 4/m m m'
_symmetry_Int_Tables_number 123
_symmetry_space_group_name_Hall '-P 4 2'
_cell_length_a 3.589
_cell_length_b 3.589
_cell_length_c 9.383
_cell_angle_alpha 90.00
_cell_angle_beta 90.00
_cell_angle_gamma 90.00
loop_
_atom_site_label
_atom_site_type_symbol
_atom_site_fract_x
_atom_site_fract_y
_atom_site_fract_z
Ca1 Ca 0.000 0.000 0.000
Ca2 Ca 0.500 0.500 0.326
Ni1 Ni 0.000 0.000 0.500
# Energy relative to the elements   0 meV/atom
# Calculated volume   30.21 Å³/atom



(2)
# GGA-PBE Ac3Te12Au5, relaxed
data_Ac3Te12Au5
_chemical_formula_sum 'Ac24 Te96 Au40'
_symmetry_space_group_name_H-M 'I a -3 d'
_symmetry_Int_Tables_number 230
_symmetry_space_group_name_Hall '-I 4bd 2c 3'
_cell_length_a 17.699
_cell_length_b 17.699
_cell_length_c 17.699
_cell_angle_alpha 90.00
_cell_angle_beta 90.00
_cell_angle_gamma 90.00
loop_
_atom_site_label
_atom_site_type_symbol
_atom_site_fract_x
_atom_site_fract_y
_atom_site_fract_z
Ac1 Ac 0.000 0.250 0.125
Te1 Te 0.025 0.058 0.647
Au1 Au 0.000 0.000 0.000
Au2 Au 0.000 0.250 0.375
# Formation energy (no corrections)   -501.9 meV per atom
# Calculated volume   34.65 Å³/atom



(3)
# GGA-PBE Pr6Sm4Er, relaxed
data_Pr6Sm4Er
_chemical_formula_sum 'Pr12 Sm8 Er2'
_symmetry_space_group_name_H-M 'I -4 2 m'
_symmetry_Int_Tables_number 121
_symmetry_space_group_name_Hall 'I -4 2'
_cell_length_a 6.867
_cell_length_b 6.867
_cell_length_c 16.730
_cell_angle_alpha 90.00
_cell_angle_beta 90.00
_cell_angle_gamma 90.00
loop_
_atom_site_label
_atom_site_type_symbol
_atom_site_fract_x
_atom_site_fract_y
_atom_site_fract_z
Pr1 Pr 0.000 0.500 0.000
Pr2 Pr 0.190 0.190 0.178
Sm1 Sm 0.174 0.174 0.384
Er1 Er 0.000 0.000 0.000
# Energy relative to the elements   278 meV/atom
# ΔE to the lowest computed polymorph   3 kJ/mol of formula units
# Calculated volume   35.86 Å³/atom



(4)
# GGA-PBE RbIn3Tc, relaxed
data_RbIn3Tc
_chemical_formula_sum 'Rb1 In3 Tc1'
_symmetry_space_group_name_H-M 'P m -3 m'
_symmetry_Int_Tables_number 221
_symmetry_space_group_name_Hall '-P 4 2 3'
_cell_length_a 5.309
_cell_length_b 5.309
_cell_length_c 5.309
_cell_angle_alpha 90.00
_cell_angle_beta 90.00
_cell_angle_gamma 90.00
loop_
_atom_site_label
_atom_site_type_symbol
_atom_site_fract_x
_atom_site_fract_y
_atom_site_fract_z
Rb1 Rb 0.000 0.000 0.000
In1 In 0.000 0.500 0.500
Tc1 Tc 0.500 0.500 0.500
# Energy relative to the elements   13 meV/atom
# ΔE to the lowest computed polymorph   0 kJ/mol of formula units
# Calculated volume   29.93 Å³/atom



(5)
# GGA-PBE Rb3Np2RhSe6, relaxed
data_Rb3Np2RhSe6
_chemical_formula_sum 'Rb6 Np4 Rh2 Se12'
_symmetry_space_group_name_H-M 'C 1 2/m 1'
_symmetry_Int_Tables_number 12
_symmetry_space_group_name_Hall '-C 2y'
_cell_length_a 7.124
_cell_length_b 12.352
_cell_length_c 8.351
_cell_angle_alpha 90.00
_cell_angle_beta 106.63
_cell_angle_gamma 90.00
loop_
_atom_site_label
_atom_site_type_symbol
_atom_site_fract_x
_atom_site_fract_y
_atom_site_fract_z
Rb1 Rb 0.000 0.000 0.000
Rb2 Rb 0.000 0.330 0.000
Np1 Np 0.000 0.166 0.500
Rh1 Rh 0.000 0.500 0.500
Se1 Se 0.219 0.344 0.688
Se2 Se 0.250 0.000 0.689
# Formation energy (no corrections)   -994.1 meV per atom
# Calculated volume   29.34 Å³/atom



(6)
# GGA-PBE Na3DyTl12, relaxed
data_Na3DyTl12
_chemical_formula_sum 'Na3 Dy1 Tl12'
_symmetry_space_group_name_H-M 'P 4/m m m'
_symmetry_Int_Tables_number 123
_symmetry_space_group_name_Hall '-P 4 2'
_cell_length_a 4.860
_cell_length_b 4.860
_cell_length_c 19.256
_cell_angle_alpha 90.00
_cell_angle_beta 90.00
_cell_angle_gamma 90.00
loop_
_atom_site_label
_atom_site_type_symbol
_atom_site_fract_x
_atom_site_fract_y
_atom_site_fract_z
Na1 Na 0.000 0.000 0.000
Na2 Na 0.000 0.000 0.255
Dy1 Dy 0.000 0.000 0.500
Tl1 Tl 0.000 0.500 0.125
Tl2 Tl 0.000 0.500 0.378
Tl3 Tl 0.500 0.500 0.000
Tl4 Tl 0.500 0.500 0.251
Tl5 Tl 0.500 0.500 0.500
# Energy relative to the elements   -91 meV/atom
# Calculated volume   28.42 Å³/atom